No. 1
Sr3PbS4: PBEsol geometry, meta-GGA SCAN.

abc: 4.2127 5.9502 8.4348
angles: 90.00 90.00 90.00
Fractional positions:
Sr: 0.5000 0.5000 0.7515
Sr: 0.0000 0.0000 0.5000
Sr: 0.5000 0.5000 0.2485
S: 0.0000 0.5000 0.5000
S: 0.5000 0.0000 0.2514
S: 0.5000 0.0000 0.7486
S: 0.0000 0.5000 0.0000
Pb: 0.0000 0.0000 0.0000

Mass density   4.7 g cm⁻³
Raw formation energy   -15.82 eV/f.u.
E_tot   -24.617 eV per atom

***

No. 2
TaPbS3: PBEsol geometry, meta-GGA SCAN.

abc: 4.9423 4.9423 4.9423
angles: 90.00 90.00 90.00
Each line ends with the local moment (μB).
Fractional positions:
S: 0.0000 0.0000 0.5000  -0.15
S: 0.5000 0.0000 0.0000  -0.15
S: 0.0000 0.5000 0.0000  -0.15
Pb: 0.0000 0.0000 0.0000  0.00
Ta: 0.5000 0.5000 0.5000  1.97

Mass density   6.7 g cm⁻³
Raw formation energy   6.32 eV/f.u.
E_tot   -32.986 eV per atom

***

No. 3
TePb2S: PBEsol geometry, meta-GGA SCAN.

abc: 4.3783 4.3783 6.1957
angles: 90.00 90.00 90.00
Fractional positions:
Pb: 0.5000 0.5000 0.5000
Pb: 0.0000 0.0000 0.0000
S: 0.0000 0.0000 0.5000
Te: 0.5000 0.5000 0.0000

Mass density   8.0 g cm⁻³
Raw formation energy   -1.57 eV/f.u.
E_tot   -50.003 eV per atom
Energy relative to the lowest polymorph listed for this composition   56 meV per atom

***

No. 4
TePb2S: PBEsol geometry, meta-GGA SCAN.

abc: 4.3510 4.3510 7.5282
angles: 73.20 73.20 60.00
Fractional positions:
Pb: 0.7412 0.7412 0.7764
Pb: 0.2588 0.2588 0.2236
Te: 0.5000 0.5000 0.5000
S: 0.0000 0.0000 0.0000

Mass density   8.2 g cm⁻³
Raw formation energy   -1.80 eV/f.u.
E_tot   -50.059 eV per atom
Energy relative to the lowest polymorph listed for this composition   0 meV per atom

***

No. 5
TePbS2: PBEsol geometry, meta-GGA SCAN.

abc: 3.8379 3.8379 8.8293
angles: 77.45 77.45 60.00
Fractional positions:
Pb: 0.5000 0.5000 0.5000
S: 0.0981 0.0981 0.7058
S: 0.9019 0.9019 0.2942
Te: 0.0000 0.0000 0.0000

Mass density   6.1 g cm⁻³
Raw formation energy   -0.12 eV/f.u.
E_tot   -33.103 eV per atom

***

No. 6
Te3PbS: PBEsol geometry, meta-GGA SCAN.

abc: 5.2498 5.2498 5.2498
angles: 90.00 90.00 90.00
Fractional positions:
Te: 0.0000 0.5000 0.0000
Te: 0.5000 0.0000 0.0000
Te: 0.0000 0.0000 0.5000
Pb: 0.5000 0.5000 0.5000
S: 0.0000 0.0000 0.0000

Mass density   7.1 g cm⁻³
Raw formation energy   1.21 eV/f.u.
E_tot   -39.190 eV per atom

***

No. 7
TiPbS3: PBEsol geometry, meta-GGA SCAN.

abc: 4.6975 4.6975 4.6975
angles: 90.00 90.00 90.00
Fractional positions:
Pb: 0.5000 0.5000 0.5000
Ti: 0.0000 0.0000 0.0000
S: 0.0000 0.0000 0.5000
S: 0.5000 0.0000 0.0000
S: 0.0000 0.5000 0.0000

Mass density   5.6 g cm⁻³
Raw formation energy   -4.30 eV/f.u.
E_tot   -25.000 eV per atom

***

No. 8
Ti3PbS: PBEsol geometry, meta-GGA SCAN.

abc: 4.4976 4.4976 4.4976
angles: 90.00 90.00 90.00
Each line ends with the local moment (μB).
Fractional positions:
Ti: 0.5000 0.0000 0.0000  0.75
Ti: 0.0000 0.0000 0.5000  0.75
Ti: 0.0000 0.5000 0.0000  0.75
S: 0.0000 0.0000 0.0000  -0.03
Pb: 0.5000 0.5000 0.5000  0.01

Mass density   7.0 g cm⁻³
Raw formation energy   -2.57 eV/f.u.
E_tot   -27.213 eV per atom

***

No. 9
ZrTl2PbS4: PBEsol geometry, meta-GGA SCAN.

abc: 6.7153 8.1327 8.6229
angles: 118.14 106.72 90.00
Fractional positions:
S: 0.9969 0.0055 0.8025
S: 0.0031 0.9945 0.1975
S: 0.0346 0.5516 0.7844
S: 0.4654 0.7672 0.2156
S: 0.4969 0.7970 0.8025
S: 0.5031 0.2030 0.1975
S: 0.5346 0.2328 0.7844
S: 0.9654 0.4484 0.2156
Pb: 0.2500 0.3773 0.0000
Pb: 0.7500 0.6227 0.0000
Tl: 0.7668 0.1248 0.5021
Tl: 0.2332 0.8752 0.4979
Tl: 0.7332 0.6227 0.4979
Tl: 0.2668 0.3773 0.5021
Zr: 0.2500 0.8791 0.0000
Zr: 0.7500 0.1209 0.0000

Mass density   7.1 g cm⁻³
Raw formation energy   -8.05 eV/f.u.
E_tot   -37.220 eV per atom

***

No. 10
Tm2PbS4: PBEsol geometry, meta-GGA SCAN.

abc: 7.7540 11.8620 14.5605
angles: 90.00 105.44 90.00
Fractional positions:
Tm: 0.1749 0.4344 0.3497
Tm: 0.6745 0.4355 0.3491
Tm: 0.0683 0.9101 0.1366
Tm: 0.5696 0.2872 0.6395
Tm: 0.9317 0.4101 0.8634
Tm: 0.9302 0.7872 0.3605
Tm: 0.5687 0.9156 0.1373
Tm: 0.4304 0.7872 0.3605
Tm: 0.4313 0.4156 0.8627
Tm: 0.8251 0.9344 0.6503
Tm: 0.3255 0.9355 0.6509
Tm: 0.1724 0.7661 0.8447
Tm: 0.8276 0.2661 0.1553
Tm: 0.3276 0.2661 0.1553
Tm: 0.0698 0.2872 0.6395
Tm: 0.6724 0.7661 0.8447
S: 0.2074 0.5565 0.9185
S: 0.7904 0.1465 0.5807
S: 0.0162 0.8856 0.5307
S: 0.7111 0.5565 0.9185
S: 0.6383 0.9782 0.7779
S: 0.3376 0.4393 0.6752
S: 0.3588 0.7243 0.7176
S: 0.4854 0.3856 0.4693
S: 0.8354 0.7630 0.1732
S: 0.0199 0.3307 0.0397
S: 0.4830 0.8166 0.9660
S: 0.6621 0.2630 0.8268
S: 0.5146 0.8856 0.5307
S: 0.1396 0.9782 0.7779
S: 0.1414 0.2235 0.2827
S: 0.3379 0.7630 0.1732
S: 0.8586 0.7235 0.7173
S: 0.3617 0.4782 0.2221
S: 0.9838 0.3856 0.4693
S: 0.6624 0.9393 0.3248
S: 0.8380 0.4383 0.6761
S: 0.1646 0.2630 0.8268
S: 0.7926 0.0565 0.0815
S: 0.2889 0.0565 0.0815
S: 0.6412 0.2243 0.2824
S: 0.2096 0.6465 0.4193
S: 0.9801 0.8307 0.9603
S: 0.1620 0.9383 0.3239
S: 0.2901 0.1469 0.5803
S: 0.5170 0.3166 0.0340
S: 0.8604 0.4782 0.2221
S: 0.7099 0.6469 0.4197
Pb: 0.4589 0.1003 0.4178
Pb: 0.5411 0.6003 0.5822
Pb: 0.9589 0.1003 0.4178
Pb: 0.5388 0.6101 0.0777
Pb: 0.0449 0.5704 0.0898
Pb: 0.9551 0.0704 0.9102
Pb: 0.0411 0.6003 0.5822
Pb: 0.4612 0.1101 0.9223

Mass density   6.9 g cm⁻³
Raw formation energy   -12.95 eV/f.u.
E_tot   -32.987 eV per atom

***

No. 11
Tm2PbS4: PBEsol geometry, meta-GGA SCAN.

abc: 3.8768 11.8755 13.9885
angles: 90.00 90.00 90.00
Fractional positions:
S: 0.7500 0.2961 0.6690
S: 0.2500 0.4114 0.4252
S: 0.7500 0.9643 0.2832
S: 0.2500 0.0357 0.7168
S: 0.2500 0.7039 0.3310
S: 0.7500 0.3732 0.9680
S: 0.2500 0.1268 0.4680
S: 0.7500 0.7961 0.8310
S: 0.7500 0.4643 0.2168
S: 0.7500 0.5886 0.5748
S: 0.2500 0.6268 0.0320
S: 0.2500 0.2039 0.1690
S: 0.2500 0.5357 0.7832
S: 0.7500 0.8732 0.5320
S: 0.2500 0.9114 0.0748
S: 0.7500 0.0886 0.9252
Tm: 0.7500 0.0620 0.1132
Tm: 0.2500 0.4145 0.0962
Tm: 0.7500 0.5855 0.9038
Tm: 0.7500 0.5620 0.3868
Tm: 0.7500 0.0855 0.5962
Tm: 0.2500 0.9380 0.8868
Tm: 0.2500 0.9145 0.4038
Tm: 0.2500 0.4380 0.6132
Pb: 0.7500 0.2493 0.3326
Pb: 0.2500 0.2507 0.8326
Pb: 0.2500 0.7507 0.6674
Pb: 0.7500 0.7493 0.1674

Mass density   6.9 g cm⁻³
Raw formation energy   -12.94 eV/f.u.
E_tot   -32.985 eV per atom

***

No. 12
ZrPbS3: PBEsol geometry, meta-GGA SCAN.

abc: 3.7405 8.9306 13.7364
angles: 90.00 90.00 90.00
Fractional positions:
Zr: 0.7500 0.8329 0.9504
Zr: 0.2500 0.1671 0.0496
Zr: 0.2500 0.6671 0.4504
Zr: 0.7500 0.3329 0.5496
S: 0.2500 0.0110 0.8928
S: 0.7500 0.2271 0.7180
S: 0.2500 0.1651 0.4872
S: 0.7500 0.8349 0.5128
S: 0.2500 0.7729 0.2820
S: 0.2500 0.5110 0.6072
S: 0.7500 0.9890 0.1072
S: 0.7500 0.3349 0.9872
S: 0.2500 0.6651 0.0128
S: 0.7500 0.4890 0.3928
S: 0.7500 0.7271 0.7820
S: 0.2500 0.2729 0.2180
Pb: 0.2500 0.5131 0.8265
Pb: 0.2500 0.0131 0.6735
Pb: 0.7500 0.9869 0.3265
Pb: 0.7500 0.4869 0.1735

Mass density   5.7 g cm⁻³
Raw formation energy   -6.51 eV/f.u.
E_tot   -28.374 eV per atom
Energy relative to the lowest polymorph listed for this composition   0 meV per atom